[1]
The following is a PBE-GGA calculation of a geometry-optimized PrHRu structure, from the Alexandria database.

Geometry as POSCAR:
```
PrHRu
1.0
-2.335 -1.009 1.952
0.527 -3.576 -1.218
6.619 -0.701 4.923
Pr Ru H
2 2 2
Direct
0.906 0.750 0.812 Pr
0.094 0.250 0.188 Pr
0.768 0.250 0.536 Ru
0.232 0.750 0.464 Ru
0.455 0.250 0.911 H
0.545 0.750 0.089 H
```

Results
space-group type	Cmcm, No. 63
E_tot	-34.7	eV per cell
magnetic moment	0.000	μB/atom
E above lowest polymorph	0.0000	eV per atom
ρ	8.13	g/cm³

[2]
The following is a PBE-GGA calculation of a geometry-optimized PrSbH2Ru structure, from the Alexandria database.

Geometry as POSCAR:
```
PrSbH2Ru
1.0
-3.701 -1.133 1.772
1.595 -3.825 -4.229
3.053 -3.383 4.212
Pr Sb H Ru
2 2 4 2
Direct
0.710 0.420 0.750 Pr
0.290 0.580 0.250 Pr
0.427 0.854 0.750 Sb
0.573 0.146 0.250 Sb
0.155 0.309 0.938 H
0.845 0.691 0.062 H
0.155 0.309 0.562 H
0.845 0.691 0.438 H
0.000 0.000 0.000 Ru
0.000 0.000 0.500 Ru
```

Results
space-group type	Cmcm, No. 63
E_tot	-55.2	eV per cell
magnetic moment	0.000	μB/atom
ρ	8.32	g/cm³

[3]
The following is a PBE-GGA calculation of a geometry-optimized PrSiHRu structure, from the Alexandria database.

Geometry as POSCAR:
```
PrSiHRu
1.0
4.183 0.000 0.000
0.000 4.183 0.000
0.000 0.000 7.551
Pr Si H Ru
2 2 2 2
Direct
0.500 0.000 0.667 Pr
0.000 0.500 0.333 Pr
0.000 0.500 0.850 Si
0.500 0.000 0.150 Si
0.000 0.000 0.500 H
0.500 0.500 0.500 H
0.500 0.500 0.000 Ru
0.000 0.000 0.000 Ru
```

Results
space-group type	P4/nmm, No. 129
E_tot	-51.7	eV per cell
magnetic moment	0.000	μB/atom
ρ	6.81	g/cm³

[4]
The following is a PBE-GGA calculation of a geometry-optimized PrSiHRu2 structure, from the Alexandria database.

Geometry as POSCAR:
```
PrSiHRu2
1.0
-2.995 -2.166 -0.165
3.000 -0.608 -4.977
3.831 -5.524 2.984
Pr Si H Ru
2 2 2 4
Direct
0.446 0.892 0.750 Pr
0.554 0.108 0.250 Pr
0.723 0.445 0.750 Si
0.277 0.555 0.250 Si
0.000 0.000 0.000 H
0.000 0.000 0.500 H
0.162 0.323 0.948 Ru
0.838 0.677 0.052 Ru
0.162 0.323 0.552 Ru
0.838 0.677 0.448 Ru
```

Results
space-group type	Cmcm, No. 63
E_tot	-68.8	eV per cell
magnetic moment	0.000	μB/atom
ρ	8.20	g/cm³